## BPPbCl2 (PBE-GGA)

Data for a geometry-optimized BPPbCl2 structure.

Cell and atoms, written as POSCAR:
```
BPPbCl2
1.0
5.7567 0.0000 0.0000
0.0000 5.7567 0.0000
0.0000 0.0000 3.4929
B P Pb Cl
1 1 1 2
direct
0.0000 0.0000 0.0000
0.0000 0.0000 0.5000
0.5000 0.5000 0.5000
0.0000 0.5000 0.0000
0.5000 0.0000 0.0000
```

Energy relative to the lowest polymorph listed for this composition, kJ/mol of atoms: 0.0

---

## Pm6B2PCl3 (PBE-GGA)

Data for a geometry-optimized Pm6B2PCl3 structure.

Cell and atoms, written as POSCAR:
```
Pm6B2PCl3
1.0
3.4674 -6.0093 0.0000
3.4674 6.0093 0.0000
-2.3136 0.0000 6.9495
Pm B P Cl
6 2 1 3
direct
0.0808 0.4312 0.7935
0.2182 0.2182 0.2058
0.4312 0.0808 0.7935
0.5688 0.9192 0.2065
0.7818 0.7818 0.7942
0.9192 0.5688 0.2065
0.1668 0.8332 0.0000
0.8332 0.1668 0.0000
0.5000 0.5000 0.0000
0.0000 0.0000 0.5000
0.3355 0.6645 0.5000
0.6645 0.3355 0.5000
```

---

## BPPtCl2 (PBE-GGA)

Data for a geometry-optimized BPPtCl2 structure.

Cell and atoms, written as POSCAR:
```
BPPtCl2
1.0
3.9583 0.0000 0.0000
0.0000 3.9583 0.0000
0.0000 0.0000 5.1512
B P Pt Cl
1 1 1 2
direct
0.0000 0.0000 0.0000
0.0000 0.0000 0.5000
0.5000 0.5000 0.5000
0.0000 0.5000 0.0000
0.5000 0.0000 0.0000
```

Energy relative to the lowest polymorph listed for this composition, kJ/mol of atoms: 0.0

---

Result set for formation energy (no corrections): 254; -1149; 921 meV per atom, one per record in the order listed.